# 1
The following is a PBE calculation of a geometry-optimized SrCaN2 structure, from Alexandria.

Values from the calculation:
Formation energy (no corrections) = 27 meV/atom

a b c (Å): 6.2910 6.2910 6.2910
angles (deg): 90.00 90.00 90.00
With the nearest neighbours (Å) after each atom.
Space group Fm-3m (No. 225)
Asymmetric unit:
Sr 0.0000 0.0000 0.0000  8 N 2.72
Ca 0.0000 0.0000 0.5000  8 N 2.72
N 0.2500 0.2500 0.2500  4 Ca 2.72, 4 Sr 2.72

---

# 2
The following is a PBE calculation of a geometry-optimized Pm4NdRu2 structure, from Alexandria.

Values from the calculation:
Energy relative to the elements = -0.1298 eV/atom
Energy relative to the lowest polymorph listed for this composition = 0 meV per atom

a b c (Å): 7.9513 6.6291 8.0107
angles (deg): 90.00 112.65 90.00
With the nearest neighbours (Å) after each atom.
Space group P2_1/m (No. 11)
Asymmetric unit:
Pm 0.1236 0.2500 0.4791  2 Ru 2.72-2.88
Pm 0.1791 0.7500 0.2564  2 Ru 2.74-3.01
Pm 0.2561 0.5021 0.9129  4 Ru 3.04-3.12, 2 Pm 3.29-3.34
Nd 0.4738 0.2500 0.3369  1 Ru 2.85
Ru 0.0911 0.2500 0.1289  2 Pm 2.72-3.01, 1 Nd 2.85
Ru 0.4830 0.2500 0.7601  4 Pm 2.74-3.04

---

# 3
The following is a PBE calculation of a geometry-optimized Ba4CaNb3O12 structure, from Alexandria.

Values from the calculation:
Formation energy (no corrections) = -2825 meV/atom

a b c (Å): 8.4345 8.4345 8.4345
angles (deg): 90.00 90.00 90.00
With the nearest neighbours (Å) after each atom.
Space group Im-3m (No. 229)
Asymmetric unit:
Ba 0.2500 0.2500 0.2500  12 O 2.98-2.99
Ca 0.0000 0.0000 0.0000  6 O 2.26
Nb 0.0000 0.0000 0.5000  6 O 1.96-2.11
O 0.0000 0.0000 0.2678  1 Nb 1.96
O 0.0000 0.2500 0.5000  2 Nb 2.11

---

# 4
The following is a PBE calculation of a geometry-optimized PrNdIO6 structure, from Alexandria.

Values from the calculation:
Formation energy (no corrections) = -1937 meV/atom

a b c (Å): 5.8162 5.8162 9.7965
angles (deg): 90.00 90.00 120.00
With the nearest neighbours (Å) after each atom.
Space group P-31c (No. 163)
Asymmetric unit:
Pr 0.0000 0.0000 0.0000  6 O 2.44
Nd 0.3333 0.6667 0.2500  6 O 2.38
I 0.3333 0.6667 0.7500  6 O 2.02
O 0.0473 0.3737 0.6360  1 I 2.02

---

# 5
The following is a PBE calculation of a geometry-optimized CdIn2Hg7 structure, from Alexandria.

Values from the calculation:
Energy relative to the elements = 0.0303 eV/atom
Energy relative to the lowest polymorph listed for this composition = 0 meV per atom

a b c (Å): 5.1963 5.1963 12.2392
angles (deg): 90.00 90.00 120.00
With the nearest neighbours (Å) after each atom.
Space group P3m1 (No. 156)
Asymmetric unit:
Cd 0.0000 0.0000 0.0000  8 Hg 3.05-3.38
In 0.3333 0.6667 0.6413  7 Hg 3.09-3.28
In 0.6667 0.3333 0.2883  8 Hg 2.98-3.24
Hg 0.0000 0.0000 0.2565  3 In 3.03, 1 Cd 3.14
Hg 0.0000 0.0000 0.7235  3 Hg 3.12, 3 In 3.16, 1 Cd 3.38
Hg 0.3333 0.6667 0.3889  4 In 3.09-3.24, 3 Hg 3.41
Hg 0.3333 0.6667 0.9264  3 Cd 3.13, 6 Hg 3.33-3.41, 1 In 3.49
Hg 0.6667 0.3333 0.0450  1 In 2.98, 3 Cd 3.05, 4 Hg 3.08-3.33
Hg 0.6667 0.3333 0.5333  4 In 3.00-3.28, 1 Hg 3.18
Hg 0.6667 0.3333 0.7931  8 Hg 3.08-3.41

---

# 6
The following is a PBE calculation of a geometry-optimized Tb5Y4Er2 structure, from Alexandria.

Values from the calculation:
Energy relative to the elements = 0.1248 eV/atom
Energy relative to the lowest polymorph listed for this composition = 0 meV per atom

a b c (Å): 11.0479 7.2710 9.2659
angles (deg): 90.00 107.58 90.00
With the nearest neighbours (Å) after each atom.
Space group C2/m (No. 12)
Asymmetric unit:
Tb 0.0000 0.0000 0.0000  4 Tb 3.17, 2 Y 3.46
Tb 0.0665 0.2781 0.2759  2 Tb 3.17-3.23, 2 Er 3.43-3.46, 3 Y 3.43-3.46
Y 0.1693 0.5000 0.6216  6 Tb 3.43-3.46, 3 Er 3.44-3.64, 2 Y 3.47-3.74
Y 0.1876 0.5000 0.0024  1 Er 3.44, 5 Tb 3.46-3.59, 1 Y 3.47
Er 0.1462 0.0000 0.6183  1 Er 3.31, 6 Tb 3.43-3.64, 4 Y 3.44-3.64

---

# 7
The following is a PBE calculation of a geometry-optimized MnCrHg2Pb structure, from Alexandria.

Values from the calculation:
Energy relative to the elements = 1.4470 eV/atom

a b c (Å): 5.0378 5.0378 4.9730
angles (deg): 90.00 90.00 90.00
With the nearest neighbours (Å) after each atom.
Space group P4/mmm (No. 123)
Asymmetric unit:
Mn 0.0000 0.0000 0.0000  2 Pb 2.49, 4 Hg 2.52
Cr 0.5000 0.5000 0.5000  8 Hg 3.54, 4 Pb 3.56
Hg 0.0000 0.5000 0.0000  2 Mn 2.52
Pb 0.0000 0.0000 0.5000  2 Mn 2.49

---

# 8
The following is a PBE calculation of a geometry-optimized Na2CdH structure, from Alexandria.

Values from the calculation:
Energy relative to the lowest polymorph listed for this composition = 51 meV per atom

a b c (Å): 3.0819 3.0819 8.1541
angles (deg): 90.00 90.00 90.00
With the nearest neighbours (Å) after each atom.
Space group P4/mmm (No. 123)
Asymmetric unit:
Na 0.0000 0.0000 0.1808  4 H 2.63
Cd 0.5000 0.5000 0.5000  4 Cd 3.08, 8 Na 3.39
H 0.5000 0.5000 0.0000  8 Na 2.63

---

| no. | total magnetization (μB per formula unit) | energy (eV per atom) |
| --- | --- | --- |
| 1 | 2.00 | -5.056 |
| 2 | 0.00 | -6.176 |
| 3 | 0.00 | -7.795 |
| 4 | 0.00 | -6.475 |
| 5 | 0.00 | -0.820 |
| 6 | 0.00 | -5.160 |
| 7 | 0.20 | -3.174 |
| 8 | 0.00 | -1.760 |